1.
Entry from the Alexandria database: In2NiSb after structural relaxation (PBE-GGA).

Values from the calculation:
The value obtained for the formation energy from raw total energies is 0.27 eV/atom. The total energy is -3.577 eV/atom.

Unit cell a=5.700 b=10.951 c=3.673 alpha=90.00 beta=128.23 gamma=90.00
Space group C2/m (No. 12)
Symmetry-distinct sites (fractional):
In  0.250  0.250  0.000 [4 per cell]
Ni  0.000  0.000  0.500 [2 per cell]
Sb  0.000  0.500  0.500 [2 per cell]

***

2.
Entry from the Alexandria database: BaLi4Mg3Cl12 after structural relaxation (PBE-GGA).

Values from the calculation:
The value obtained for the formation energy from raw total energies is -1.88 eV/atom. The total energy is -3.704 eV/atom.

Unit cell a=13.7605 b=13.7605 c=9.2623 alpha=90.00 beta=90.00 gamma=120.00
Space group R32 (No. 155, hexagonal axes)
Symmetry-distinct sites (fractional):
Ba  0.0000  0.0000  0.0000 [3 per cell]
Li  0.0000  0.0000  0.5000 [3 per cell]
Li  0.0000  0.4270  0.5000 [9 per cell]
Mg  0.0000  0.5712  0.0000 [9 per cell]
Cl  0.0000  0.5933  0.5000 [9 per cell]
Cl  0.0000  0.8323  0.5000 [9 per cell]
Cl  0.0632  0.2218  0.1814 [18 per cell]

***

3.
Entry from the Alexandria database: Li2La2CeTl2 after structural relaxation (PBE-GGA).

Values from the calculation:
The total energy is -3.667 eV/atom.

Unit cell a=5.0594 b=5.0594 c=26.2202 alpha=90.00 beta=90.00 gamma=120.00
Space group R-3m (No. 166, hexagonal axes)
Symmetry-distinct sites (fractional):
Li  0.0000  0.0000  0.1086 [6 per cell]
La  0.0000  0.0000  0.3737 [6 per cell]
Ce  0.0000  0.0000  0.5000 [3 per cell]
Tl  0.0000  0.0000  0.2332 [6 per cell]